(1)
{"formula": "Rb2Th2Se5", "functional": "PBE", "state": "optimized geometry", "space_group": "Cmce", "raw_formation_energy_ev_per_atom": -1.6352, "magnetic_moment_mub_per_cell": 0.0, "lattice": [[8.4117, -4.1153, 0.0000], [8.4117, 4.1153, 0.0000], [0.0000, 0.0000, 8.2397]], "species": ["Rb", "Rb", "Rb", "Rb", "Th", "Th", "Th", "Th", "Se", "Se", "Se", "Se", "Se", "Se", "Se", "Se", "Se", "Se"], "fractional_positions": [[0.2050, 0.2050, 0.0000], [0.2950, 0.2950, 0.5000], [0.7050, 0.7050, 0.5000], [0.7950, 0.7950, 0.0000], [0.1638, 0.8362, 0.6638], [0.3362, 0.6638, 0.1638], [0.6638, 0.3362, 0.8362], [0.8362, 0.1638, 0.3362], [0.0000, 0.0000, 0.0000], [0.0333, 0.7464, 0.3566], [0.2464, 0.5333, 0.8566], [0.2536, 0.9667, 0.3566], [0.4667, 0.7536, 0.8566], [0.5000, 0.5000, 0.5000], [0.5333, 0.2464, 0.1434], [0.7464, 0.0333, 0.6434], [0.7536, 0.4667, 0.1434], [0.9667, 0.2536, 0.6434]]}

=====

(2)
{"formula": "Rb2Th7Se15", "functional": "PBE", "state": "optimized geometry", "space_group": "P2_1/c", "raw_formation_energy_ev_per_atom": -1.7110, "magnetic_moment_mub_per_cell": 0.0, "lattice": [[15.4906, 0.0000, 0.0000], [0.0000, 7.9493, 0.0000], [-0.1593, 0.0000, 22.0535]], "species": ["Rb", "Rb", "Rb", "Rb", "Rb", "Rb", "Rb", "Rb", "Th", "Th", "Th", "Th", "Th", "Th", "Th", "Th", "Th", "Th", "Th", "Th", "Th", "Th", "Th", "Th", "Th", "Th", "Th", "Th", "Th", "Th", "Th", "Th", "Th", "Th", "Th", "Th", "Se", "Se", "Se", "Se", "Se", "Se", "Se", "Se", "Se", "Se", "Se", "Se", "Se", "Se", "Se", "Se", "Se", "Se", "Se", "Se", "Se", "Se", "Se", "Se", "Se", "Se", "Se", "Se", "Se", "Se", "Se", "Se", "Se", "Se", "Se", "Se", "Se", "Se", "Se", "Se", "Se", "Se", "Se", "Se", "Se", "Se", "Se", "Se", "Se", "Se", "Se", "Se", "Se", "Se", "Se", "Se", "Se", "Se", "Se", "Se"], "fractional_positions": [[0.0443, 0.0483, 0.2676], [0.0443, 0.4517, 0.7676], [0.3931, 0.0458, 0.9420], [0.3931, 0.4542, 0.4420], [0.6069, 0.5458, 0.5580], [0.6069, 0.9542, 0.0580], [0.9557, 0.5483, 0.2324], [0.9557, 0.9517, 0.7324], [0.0970, 0.0839, 0.9243], [0.0970, 0.4161, 0.4243], [0.1177, 0.5213, 0.0619], [0.1177, 0.9787, 0.5619], [0.2116, 0.0245, 0.1056], [0.2116, 0.4755, 0.6056], [0.2515, 0.5698, 0.2453], [0.2515, 0.9302, 0.7453], [0.2574, 0.5573, 0.8873], [0.2574, 0.9427, 0.3873], [0.4195, 0.0724, 0.5862], [0.4195, 0.4276, 0.0862], [0.4533, 0.5177, 0.7266], [0.4533, 0.9823, 0.2266], [0.5467, 0.0177, 0.7734], [0.5467, 0.4823, 0.2734], [0.5805, 0.5724, 0.9138], [0.5805, 0.9276, 0.4138], [0.7426, 0.0573, 0.6127], [0.7426, 0.4427, 0.1127], [0.7485, 0.0698, 0.2547], [0.7485, 0.4302, 0.7547], [0.7884, 0.5245, 0.3944], [0.7884, 0.9755, 0.8944], [0.8823, 0.0213, 0.4381], [0.8823, 0.4787, 0.9381], [0.9030, 0.5839, 0.5757], [0.9030, 0.9161, 0.0757], [0.0462, 0.1617, 0.0480], [0.0462, 0.3383, 0.5480], [0.0654, 0.6917, 0.6420], [0.0654, 0.8083, 0.1420], [0.0779, 0.0354, 0.4298], [0.0779, 0.4646, 0.9298], [0.1308, 0.6940, 0.3339], [0.1308, 0.8060, 0.8339], [0.1439, 0.1698, 0.6750], [0.1439, 0.3302, 0.1750], [0.2003, 0.6778, 0.4883], [0.2003, 0.8222, 0.9883], [0.2319, 0.2115, 0.8446], [0.2319, 0.2885, 0.3446], [0.2582, 0.1898, 0.5126], [0.2582, 0.3102, 0.0126], [0.2619, 0.5482, 0.7391], [0.2619, 0.9518, 0.2391], [0.2820, 0.6656, 0.1184], [0.2820, 0.8344, 0.6184], [0.3874, 0.1615, 0.7153], [0.3874, 0.3385, 0.2153], [0.3970, 0.7079, 0.3190], [0.3970, 0.7921, 0.8190], [0.4012, 0.0558, 0.0973], [0.4012, 0.4442, 0.5973], [0.4109, 0.6172, 0.9690], [0.4109, 0.8828, 0.4690], [0.4777, 0.1717, 0.3411], [0.4777, 0.3283, 0.8411], [0.5223, 0.6717, 0.1589], [0.5223, 0.8283, 0.6589], [0.5891, 0.1172, 0.5310], [0.5891, 0.3828, 0.0310], [0.5988, 0.5558, 0.4027], [0.5988, 0.9442, 0.9027], [0.6030, 0.2079, 0.1810], [0.6030, 0.2921, 0.6810], [0.6126, 0.6615, 0.7847], [0.6126, 0.8385, 0.2847], [0.7180, 0.1656, 0.3816], [0.7180, 0.3344, 0.8816], [0.7381, 0.0482, 0.7609], [0.7381, 0.4518, 0.2609], [0.7418, 0.6898, 0.9874], [0.7418, 0.8102, 0.4874], [0.7681, 0.7115, 0.6554], [0.7681, 0.7885, 0.1554], [0.7997, 0.1778, 0.0117], [0.7997, 0.3222, 0.5117], [0.8561, 0.6698, 0.8250], [0.8561, 0.8302, 0.3250], [0.8692, 0.1940, 0.1661], [0.8692, 0.3060, 0.6661], [0.9221, 0.5354, 0.0702], [0.9221, 0.9646, 0.5702], [0.9346, 0.1917, 0.8580], [0.9346, 0.3083, 0.3580], [0.9538, 0.6617, 0.4520], [0.9538, 0.8383, 0.9520]]}

=====

(3)
{"formula": "Rb2Th3Se6", "functional": "PBE", "state": "optimized geometry", "space_group": "C2/m", "raw_formation_energy_ev_per_atom": -1.5889, "magnetic_moment_mub_per_cell": 0.0, "lattice": [[3.6751, -6.3629, 0.0000], [3.6751, 6.3629, 0.0000], [-2.4457, 0.0000, 8.3265]], "species": ["Rb", "Rb", "Th", "Th", "Th", "Se", "Se", "Se", "Se", "Se", "Se"], "fractional_positions": [[0.1668, 0.8332, 0.0000], [0.8332, 0.1668, 0.0000], [0.0000, 0.0000, 0.5000], [0.3342, 0.6658, 0.5000], [0.6658, 0.3342, 0.5000], [0.0672, 0.4005, 0.7013], [0.2658, 0.2658, 0.2971], [0.4005, 0.0672, 0.7013], [0.5995, 0.9328, 0.2987], [0.7342, 0.7342, 0.7029], [0.9328, 0.5995, 0.2987]]}

=====

(4)
{"formula": "RbTh2Se6", "functional": "PBE", "state": "optimized geometry", "space_group": "Immm", "raw_formation_energy_ev_per_atom": -1.4836, "magnetic_moment_mub_per_cell": 0.0, "lattice": [[-2.1308, 2.7960, 11.5255], [2.1308, -2.7960, 11.5255], [2.1308, 2.7960, -11.5255]], "species": ["Rb", "Th", "Th", "Se", "Se", "Se", "Se", "Se", "Se"], "fractional_positions": [[0.0000, 0.0000, 0.0000], [0.3199, 0.8199, 0.5000], [0.6801, 0.1801, 0.5000], [0.1454, 0.3910, 0.7544], [0.2290, 0.2290, 0.0000], [0.3634, 0.6090, 0.7544], [0.6366, 0.3910, 0.2456], [0.7710, 0.7710, 0.0000], [0.8546, 0.6090, 0.2456]]}

=====

(5)
{"formula": "Rb3ThSe3", "functional": "PBE", "state": "optimized geometry", "space_group": "R-3", "raw_formation_energy_ev_per_atom": -1.2416, "magnetic_moment_mub_per_cell": 0.0, "lattice": [[3.9521, 2.2817, 12.1893], [-3.9521, 2.2817, 12.1893], [0.0000, -4.5635, 12.1893]], "species": ["Rb", "Rb", "Rb", "Rb", "Rb", "Rb", "Th", "Th", "Se", "Se", "Se", "Se", "Se", "Se"], "fractional_positions": [[0.0955, 0.4004, 0.7015], [0.2985, 0.9045, 0.5996], [0.4004, 0.7015, 0.0955], [0.5996, 0.2985, 0.9045], [0.7015, 0.0955, 0.4004], [0.9045, 0.5996, 0.2985], [0.1667, 0.1667, 0.1667], [0.8333, 0.8333, 0.8333], [0.0772, 0.8346, 0.4556], [0.1654, 0.5444, 0.9228], [0.4556, 0.0772, 0.8346], [0.5444, 0.9228, 0.1654], [0.8346, 0.4556, 0.0772], [0.9228, 0.1654, 0.5444]]}

=====

(6)
{"formula": "Rb5Th3Se8", "functional": "PBE", "state": "optimized geometry", "space_group": "R-3m", "raw_formation_energy_ev_per_atom": -1.5194, "magnetic_moment_mub_per_cell": 0.0, "lattice": [[4.4858, 2.5899, 7.9634], [-4.4858, 2.5899, 7.9634], [0.0000, -5.1798, 7.9634]], "species": ["Rb", "Rb", "Rb", "Rb", "Rb", "Th", "Th", "Th", "Se", "Se", "Se", "Se", "Se", "Se", "Se", "Se"], "fractional_positions": [[0.0000, 0.0000, 0.0000], [0.0000, 0.5000, 0.5000], [0.5000, 0.0000, 0.5000], [0.5000, 0.5000, 0.0000], [0.5000, 0.5000, 0.5000], [0.0000, 0.0000, 0.5000], [0.0000, 0.5000, 0.0000], [0.5000, 0.0000, 0.0000], [0.2010, 0.7503, 0.7503], [0.2330, 0.2330, 0.2330], [0.2497, 0.2497, 0.7990], [0.2497, 0.7990, 0.2497], [0.7503, 0.2010, 0.7503], [0.7503, 0.7503, 0.2010], [0.7670, 0.7670, 0.7670], [0.7990, 0.2497, 0.2497]]}

=====

(7)
{"formula": "Rb3Th2TlSe6", "functional": "PBE", "state": "optimized geometry", "space_group": "C2/m", "raw_formation_energy_ev_per_atom": -1.4445, "magnetic_moment_mub_per_cell": 0.0, "lattice": [[10.1895, -2.2202, 0.0000], [10.1895, 2.2202, 0.0000], [-2.5959, 0.0000, 9.3141]], "species": ["Rb", "Rb", "Rb", "Th", "Th", "Tl", "Se", "Se", "Se", "Se", "Se", "Se"], "fractional_positions": [[0.0000, 0.0000, 0.0000], [0.3471, 0.3471, 0.6621], [0.6529, 0.6529, 0.3379], [0.3339, 0.3339, 0.1682], [0.6661, 0.6661, 0.8318], [0.0000, 0.0000, 0.5000], [0.1738, 0.1738, 0.6373], [0.1793, 0.1793, 0.0496], [0.4745, 0.4745, 0.2407], [0.5255, 0.5255, 0.7593], [0.8207, 0.8207, 0.9504], [0.8262, 0.8262, 0.3627]]}

=====

(8)
{"formula": "Rb2ThTlSe4", "functional": "PBE", "state": "optimized geometry", "space_group": "P2/m", "raw_formation_energy_ev_per_atom": -1.2060, "magnetic_moment_mub_per_cell": 0.0, "lattice": [[7.7804, 0.0000, 0.0000], [0.0000, 4.3975, 0.0000], [-2.6052, 0.0000, 7.9847]], "species": ["Rb", "Rb", "Th", "Tl", "Se", "Se", "Se", "Se"], "fractional_positions": [[0.0000, 0.0000, 0.0000], [0.5000, 0.5000, 0.0000], [0.0000, 0.5000, 0.5000], [0.5000, 0.0000, 0.5000], [0.2146, 0.0000, 0.7030], [0.2475, 0.5000, 0.3002], [0.7525, 0.5000, 0.6998], [0.7854, 0.0000, 0.2970]]}

=====

(9)
{"formula": "RbTh2Tl3Se6", "functional": "PBE", "state": "optimized geometry", "space_group": "C2/m", "raw_formation_energy_ev_per_atom": -1.1870, "magnetic_moment_mub_per_cell": 0.0, "lattice": [[10.1209, -2.2077, 0.0000], [10.1209, 2.2077, 0.0000], [-2.1796, 0.0000, 9.1237]], "species": ["Rb", "Th", "Th", "Tl", "Tl", "Tl", "Se", "Se", "Se", "Se", "Se", "Se"], "fractional_positions": [[0.0000, 0.0000, 0.0000], [0.3311, 0.3311, 0.6672], [0.6689, 0.6689, 0.3328], [0.0000, 0.0000, 0.5000], [0.3407, 0.3407, 0.1736], [0.6593, 0.6593, 0.8264], [0.1774, 0.1774, 0.5561], [0.1811, 0.1811, 0.1319], [0.4699, 0.4699, 0.7254], [0.5301, 0.5301, 0.2746], [0.8189, 0.8189, 0.8681], [0.8226, 0.8226, 0.4439]]}

=====

(10)
{"formula": "Rb4Tm3ThSe8", "functional": "PBE", "state": "optimized geometry", "space_group": "R-3m", "raw_formation_energy_ev_per_atom": -1.6634, "magnetic_moment_mub_per_cell": 0.0, "lattice": [[4.2150, 2.4335, 8.0213], [-4.2150, 2.4335, 8.0213], [0.0000, -4.8670, 8.0213]], "species": ["Rb", "Rb", "Rb", "Rb", "Tm", "Tm", "Tm", "Th", "Se", "Se", "Se", "Se", "Se", "Se", "Se", "Se"], "fractional_positions": [[0.0000, 0.0000, 0.0000], [0.0000, 0.5000, 0.5000], [0.5000, 0.0000, 0.5000], [0.5000, 0.5000, 0.0000], [0.0000, 0.0000, 0.5000], [0.0000, 0.5000, 0.0000], [0.5000, 0.0000, 0.0000], [0.5000, 0.5000, 0.5000], [0.2263, 0.7358, 0.7358], [0.2309, 0.2309, 0.2309], [0.2642, 0.2642, 0.7737], [0.2642, 0.7737, 0.2642], [0.7358, 0.2263, 0.7358], [0.7358, 0.7358, 0.2263], [0.7691, 0.7691, 0.7691], [0.7737, 0.2642, 0.2642]]}

=====

(11)
{"formula": "Rb3TmTh3Se8", "functional": "PBE", "state": "optimized geometry", "space_group": "R-3m", "raw_formation_energy_ev_per_atom": -1.6230, "magnetic_moment_mub_per_cell": 0.0, "lattice": [[4.2314, 2.4430, 8.2573], [-4.2314, 2.4430, 8.2573], [0.0000, -4.8860, 8.2573]], "species": ["Rb", "Rb", "Rb", "Tm", "Th", "Th", "Th", "Se", "Se", "Se", "Se", "Se", "Se", "Se", "Se"], "fractional_positions": [[0.0000, 0.5000, 0.5000], [0.5000, 0.0000, 0.5000], [0.5000, 0.5000, 0.0000], [0.5000, 0.5000, 0.5000], [0.0000, 0.0000, 0.5000], [0.0000, 0.5000, 0.0000], [0.5000, 0.0000, 0.0000], [0.2361, 0.2361, 0.2361], [0.2398, 0.7278, 0.7278], [0.2722, 0.2722, 0.7602], [0.2722, 0.7602, 0.2722], [0.7278, 0.2398, 0.7278], [0.7278, 0.7278, 0.2398], [0.7602, 0.2722, 0.2722], [0.7639, 0.7639, 0.7639]]}

=====

(12)
{"formula": "Rb4TmTh3Se8", "functional": "PBE", "state": "optimized geometry", "space_group": "R-3m", "raw_formation_energy_ev_per_atom": -1.5598, "magnetic_moment_mub_per_cell": 0.0, "lattice": [[4.2486, 2.4529, 8.1383], [-4.2486, 2.4529, 8.1383], [0.0000, -4.9058, 8.1383]], "species": ["Rb", "Rb", "Rb", "Rb", "Tm", "Th", "Th", "Th", "Se", "Se", "Se", "Se", "Se", "Se", "Se", "Se"], "fractional_positions": [[0.0000, 0.0000, 0.0000], [0.0000, 0.5000, 0.5000], [0.5000, 0.0000, 0.5000], [0.5000, 0.5000, 0.0000], [0.5000, 0.5000, 0.5000], [0.0000, 0.0000, 0.5000], [0.0000, 0.5000, 0.0000], [0.5000, 0.0000, 0.0000], [0.2367, 0.2367, 0.2367], [0.2428, 0.7295, 0.7294], [0.2706, 0.2706, 0.7572], [0.2706, 0.7572, 0.2706], [0.7294, 0.2428, 0.7294], [0.7294, 0.7294, 0.2428], [0.7572, 0.2706, 0.2706], [0.7633, 0.7633, 0.7633]]}